# 1
# ZrMnTe2

Crystalline ZrMnTe2 at its relaxed geometry (PBEsol, the Alexandria database).

abc: 4.910 4.910 4.910
angles: 60.00 60.00 60.00
Fractional coordinates of all 4 atoms:
Zr (0.000, 0.000, 0.000)
Mn (0.500, 0.500, 0.500)
Te (0.250, 0.250, 0.250)
Te (0.750, 0.750, 0.750)

Calculated values
symmetry: Fm-3m (225)
uncorrected formation energy: -0.228 eV per atom
ΔE to the lowest computed polymorph: 0.1560 eV per atom
raw total energy: -6.704 eV/atom

# 2
# Ce2Sb

Crystalline Ce2Sb at its relaxed geometry (PBEsol, the Alexandria database).

abc: 9.138 9.138 9.138
angles: 152.22 152.22 39.69
Fractional coordinates of all 6 atoms:
Ce (0.000, 0.500, 0.500)
Ce (0.175, 0.175, 0.000)
Ce (0.500, 0.000, 0.500)
Ce (0.825, 0.825, 0.000)
Sb (0.362, 0.362, 0.000)
Sb (0.638, 0.638, 0.000)

Calculated values
symmetry: I4/mmm (139)
uncorrected formation energy: -0.705 eV per atom
raw total energy: -6.621 eV/atom

# 3
# Bi4B2O9

Crystalline Bi4B2O9 at its relaxed geometry (PBEsol, the Alexandria database).

abc: 11.140 6.511 11.065
angles: 90.00 90.50 90.00
Fractional coordinates of all 60 atoms:
Bi (0.001, 0.069, 0.161)
Bi (0.001, 0.431, 0.661)
Bi (0.156, 0.553, 0.020)
Bi (0.156, 0.947, 0.520)
Bi (0.305, 0.041, 0.992)
Bi (0.305, 0.459, 0.492)
Bi (0.489, 0.019, 0.346)
Bi (0.489, 0.481, 0.846)
Bi (0.511, 0.519, 0.154)
Bi (0.511, 0.981, 0.654)
Bi (0.695, 0.541, 0.508)
Bi (0.695, 0.959, 0.008)
Bi (0.844, 0.053, 0.480)
Bi (0.844, 0.447, 0.980)
Bi (0.999, 0.569, 0.339)
Bi (0.999, 0.931, 0.839)
B (0.249, 0.232, 0.766)
B (0.249, 0.268, 0.266)
B (0.277, 0.749, 0.246)
B (0.277, 0.751, 0.746)
B (0.723, 0.249, 0.254)
B (0.723, 0.251, 0.754)
B (0.751, 0.732, 0.734)
B (0.751, 0.768, 0.234)
O (0.003, 0.593, 0.888)
O (0.003, 0.907, 0.388)
O (0.115, 0.606, 0.506)
O (0.115, 0.894, 0.006)
O (0.163, 0.675, 0.221)
O (0.163, 0.825, 0.721)
O (0.173, 0.225, 0.866)
O (0.173, 0.275, 0.366)
O (0.209, 0.187, 0.157)
O (0.209, 0.313, 0.657)
O (0.314, 0.704, 0.862)
O (0.314, 0.796, 0.362)
O (0.356, 0.728, 0.649)
O (0.356, 0.772, 0.149)
O (0.364, 0.159, 0.784)
O (0.364, 0.341, 0.284)
O (0.421, 0.160, 0.515)
O (0.421, 0.340, 0.015)
O (0.579, 0.660, 0.985)
O (0.579, 0.840, 0.485)
O (0.636, 0.659, 0.716)
O (0.636, 0.841, 0.216)
O (0.644, 0.228, 0.851)
O (0.644, 0.272, 0.351)
O (0.686, 0.204, 0.638)
O (0.686, 0.296, 0.138)
O (0.791, 0.687, 0.343)
O (0.791, 0.813, 0.843)
O (0.827, 0.725, 0.634)
O (0.827, 0.775, 0.134)
O (0.837, 0.175, 0.279)
O (0.837, 0.325, 0.779)
O (0.885, 0.106, 0.994)
O (0.885, 0.394, 0.494)
O (0.997, 0.093, 0.612)
O (0.997, 0.407, 0.112)

Calculated values
symmetry: P2_1/c (14)
uncorrected formation energy: -1.690 eV per atom
raw total energy: -6.918 eV/atom